1.
The following is a DFT calculation (PBE) of an optimized crystal structure of Sr3HgO. Values from VASP.

Quantum ESPRESSO input file:
```
&SYSTEM
  ibrav = 0, nat = 20, ntyp = 3
/
ATOMIC_SPECIES
Sr 87.62 Sr.upf
Hg 200.59 Hg.upf
O 16.00 O.upf
ATOMIC_POSITIONS crystal
Sr 0.005 0.250 0.045
Sr 0.221 0.022 0.719
Sr 0.221 0.478 0.719
Sr 0.279 0.522 0.219
Sr 0.279 0.978 0.219
Sr 0.495 0.750 0.545
Sr 0.505 0.250 0.455
Sr 0.721 0.022 0.781
Sr 0.721 0.478 0.781
Sr 0.779 0.522 0.281
Sr 0.779 0.978 0.281
Sr 0.995 0.750 0.955
Hg 0.023 0.750 0.494
Hg 0.477 0.250 0.994
Hg 0.523 0.750 0.006
Hg 0.977 0.250 0.506
O 0.000 0.000 0.000
O 0.000 0.500 0.000
O 0.500 0.000 0.500
O 0.500 0.500 0.500
CELL_PARAMETERS angstrom
7.338 0.000 0.000
0.000 10.577 0.000
0.000 0.000 7.318
```

ΔE_f (raw)   -1265.6 meV/atom
Symmetry   Pnma
ΔE to the lowest computed polymorph   0.0000 eV/atom

---

2.
The following is a DFT calculation (PBE) of an optimized crystal structure of Sr2HgO. Values from VASP.

Quantum ESPRESSO input file:
```
&SYSTEM
  ibrav = 0, nat = 12, ntyp = 3
/
ATOMIC_SPECIES
Sr 87.62 Sr.upf
Hg 200.59 Hg.upf
O 16.00 O.upf
ATOMIC_POSITIONS crystal
Sr 0.000 0.000 0.116
Sr 0.000 0.000 0.884
Sr 0.333 0.667 0.551
Sr 0.333 0.667 0.782
Sr 0.667 0.333 0.218
Sr 0.667 0.333 0.449
Hg 0.000 0.000 0.000
Hg 0.333 0.667 0.667
Hg 0.667 0.333 0.333
O 0.000 0.000 0.500
O 0.333 0.667 0.167
O 0.667 0.333 0.833
CELL_PARAMETERS angstrom
3.778 0.000 0.000
-1.889 3.272 0.000
0.000 0.000 28.661
```

ΔE_f (raw)   -1179.7 meV/atom
Symmetry   R-3m
ΔE to the lowest computed polymorph   0.2982 eV/atom

---

3.
The following is a DFT calculation (PBE) of an optimized crystal structure of Sr2HgO3. Values from VASP.

Quantum ESPRESSO input file:
```
&SYSTEM
  ibrav = 0, nat = 12, ntyp = 3
/
ATOMIC_SPECIES
Sr 87.62 Sr.upf
Hg 200.59 Hg.upf
O 16.00 O.upf
ATOMIC_POSITIONS crystal
Sr 0.000 0.000 0.154
Sr 0.000 0.000 0.846
Sr 0.500 0.500 0.346
Sr 0.500 0.500 0.654
Hg 0.000 0.000 0.500
Hg 0.500 0.500 0.000
O 0.000 0.000 0.329
O 0.000 0.000 0.671
O 0.000 0.500 0.500
O 0.500 0.000 0.000
O 0.500 0.500 0.171
O 0.500 0.500 0.829
CELL_PARAMETERS angstrom
3.518 0.000 0.000
0.000 4.312 0.000
0.000 0.000 13.758
```

ΔE_f (raw)   -1828.2 meV/atom
Symmetry   Immm
ΔE to the lowest computed polymorph   0.1049 eV/atom

---

4.
The following is a DFT calculation (PBE) of an optimized crystal structure of SrHgO3. Values from VASP.

Quantum ESPRESSO input file:
```
&SYSTEM
  ibrav = 0, nat = 5, ntyp = 3
/
ATOMIC_SPECIES
Sr 87.62 Sr.upf
Hg 200.59 Hg.upf
O 16.00 O.upf
ATOMIC_POSITIONS crystal
Sr 0.000 0.000 0.000
Hg 0.500 0.500 0.500
O 0.000 0.000 0.500
O 0.000 0.500 0.000
O 0.500 0.000 0.000
CELL_PARAMETERS angstrom
4.526 0.000 0.000
0.000 4.526 0.000
0.000 0.000 4.526
```

ΔE_f (raw)   -140.7 meV/atom
Symmetry   Pm-3m

---

5.
The following is a DFT calculation (PBE) of an optimized crystal structure of Sr2HgO2. Values from VASP.

Quantum ESPRESSO input file:
```
&SYSTEM
  ibrav = 0, nat = 10, ntyp = 3
/
ATOMIC_SPECIES
Sr 87.62 Sr.upf
Hg 200.59 Hg.upf
O 16.00 O.upf
ATOMIC_POSITIONS crystal
Sr 0.000 0.000 0.189
Sr 0.000 0.000 0.811
Sr 0.500 0.500 0.311
Sr 0.500 0.500 0.689
Hg 0.000 0.000 0.500
Hg 0.500 0.500 0.000
O 0.000 0.500 0.250
O 0.000 0.500 0.750
O 0.500 0.000 0.250
O 0.500 0.000 0.750
CELL_PARAMETERS angstrom
4.625 0.000 0.000
0.000 4.625 0.000
0.000 0.000 12.431
```

ΔE_f (raw)   -1898.2 meV/atom
Symmetry   I4/mmm

---

6.
The following is a DFT calculation (PBE) of an optimized crystal structure of SrTaHg2O. Values from VASP.

Quantum ESPRESSO input file:
```
&SYSTEM
  ibrav = 0, nat = 5, ntyp = 4
/
ATOMIC_SPECIES
Sr 87.62 Sr.upf
Ta 180.95 Ta.upf
Hg 200.59 Hg.upf
O 16.00 O.upf
ATOMIC_POSITIONS crystal
Sr 0.000 0.000 0.000
Ta 0.500 0.500 0.500
Hg 0.000 0.500 0.500
Hg 0.500 0.000 0.500
O 0.500 0.500 0.000
CELL_PARAMETERS angstrom
5.699 0.000 0.000
0.000 5.699 0.000
0.000 0.000 3.899
```

ΔE_f (raw)   -674.1 meV/atom
Symmetry   P4/mmm

---

7.
The following is a DFT calculation (PBE) of an optimized crystal structure of SrTaHgO2. Values from VASP.

Quantum ESPRESSO input file:
```
&SYSTEM
  ibrav = 0, nat = 5, ntyp = 4
/
ATOMIC_SPECIES
Sr 87.62 Sr.upf
Ta 180.95 Ta.upf
Hg 200.59 Hg.upf
O 16.00 O.upf
ATOMIC_POSITIONS crystal
Sr 0.000 0.000 0.000
Ta 0.500 0.500 0.000
Hg 0.500 0.500 0.500
O 0.000 0.500 0.500
O 0.500 0.000 0.500
CELL_PARAMETERS angstrom
4.660 0.000 0.000
0.000 4.660 0.000
0.000 0.000 5.167
```

ΔE_f (raw)   835.7 meV/atom
Symmetry   P4/mmm

---

8.
The following is a DFT calculation (PBE) of an optimized crystal structure of Sr2TaHgO6. Values from VASP.

Quantum ESPRESSO input file:
```
&SYSTEM
  ibrav = 0, nat = 10, ntyp = 4
/
ATOMIC_SPECIES
Sr 87.62 Sr.upf
Ta 180.95 Ta.upf
Hg 200.59 Hg.upf
O 16.00 O.upf
ATOMIC_POSITIONS crystal
Sr 0.247 0.247 0.227
Sr 0.753 0.753 0.773
Ta 0.500 0.500 0.000
Hg 0.000 0.000 0.500
O 0.191 0.679 0.171
O 0.295 0.295 0.693
O 0.321 0.809 0.829
O 0.679 0.191 0.171
O 0.705 0.705 0.307
O 0.809 0.321 0.829
CELL_PARAMETERS angstrom
5.297 -2.862 0.000
5.297 2.862 0.000
-2.959 0.000 4.926
```

ΔE_f (raw)   -2227.8 meV/atom
Symmetry   C2/m

---

9.
The following is a DFT calculation (PBE) of an optimized crystal structure of SrTa2HgO7. Values from VASP.

Quantum ESPRESSO input file:
```
&SYSTEM
  ibrav = 0, nat = 11, ntyp = 4
/
ATOMIC_SPECIES
Sr 87.62 Sr.upf
Ta 180.95 Ta.upf
Hg 200.59 Hg.upf
O 16.00 O.upf
ATOMIC_POSITIONS crystal
Sr 0.000 0.000 0.000
Ta 0.398 0.398 0.000
Ta 0.602 0.602 0.000
Hg 0.750 0.250 0.500
O 0.090 0.590 0.500
O 0.305 0.305 0.000
O 0.410 0.910 0.500
O 0.500 0.500 0.000
O 0.594 0.094 0.500
O 0.695 0.695 0.000
O 0.906 0.406 0.500
CELL_PARAMETERS angstrom
-1.985 1.985 10.348
1.985 -1.985 10.348
1.985 1.985 -10.348
```

ΔE_f (raw)   -2481.2 meV/atom
Symmetry   I-4m2

---

10.
The following is a DFT calculation (PBE) of an optimized crystal structure of SrTa2HgO. Values from VASP.

Quantum ESPRESSO input file:
```
&SYSTEM
  ibrav = 0, nat = 5, ntyp = 4
/
ATOMIC_SPECIES
Sr 87.62 Sr.upf
Ta 180.95 Ta.upf
Hg 200.59 Hg.upf
O 16.00 O.upf
ATOMIC_POSITIONS crystal
Sr 0.000 0.000 0.000
Ta 0.000 0.500 0.500
Ta 0.500 0.000 0.500
Hg 0.000 0.000 0.500
O 0.500 0.500 0.000
CELL_PARAMETERS angstrom
5.074 0.000 0.000
0.000 5.074 0.000
0.000 0.000 6.298
```

ΔE_f (raw)   1773.7 meV/atom
Symmetry   P4/mmm

---

11.
The following is a DFT calculation (PBE) of an optimized crystal structure of Sr2TcHg2O6. Values from VASP.

Quantum ESPRESSO input file:
```
&SYSTEM
  ibrav = 0, nat = 11, ntyp = 4
/
ATOMIC_SPECIES
Sr 87.62 Sr.upf
Tc 98.00 Tc.upf
Hg 200.59 Hg.upf
O 16.00 O.upf
ATOMIC_POSITIONS crystal
Sr 0.164 0.836 0.000
Sr 0.836 0.164 0.000
Tc 0.500 0.500 0.000
Hg 0.352 0.648 0.500
Hg 0.648 0.352 0.500
O 0.208 0.471 0.827
O 0.268 0.268 0.181
O 0.471 0.208 0.827
O 0.529 0.792 0.173
O 0.732 0.732 0.819
O 0.792 0.529 0.173
CELL_PARAMETERS angstrom
3.032 -5.297 0.000
3.032 5.297 0.000
-1.100 0.000 6.267
```

ΔE_f (raw)   -1530.5 meV/atom
Symmetry   C2/m

---

12.
The following is a DFT calculation (PBE) of an optimized crystal structure of SrTc2HgO8. Values from VASP.

Quantum ESPRESSO input file:
```
&SYSTEM
  ibrav = 0, nat = 12, ntyp = 4
/
ATOMIC_SPECIES
Sr 87.62 Sr.upf
Tc 98.00 Tc.upf
Hg 200.59 Hg.upf
O 16.00 O.upf
ATOMIC_POSITIONS crystal
Sr 0.000 0.000 0.000
Tc 0.335 0.335 0.760
Tc 0.665 0.665 0.240
Hg 0.000 0.000 0.500
O 0.189 0.189 0.836
O 0.194 0.627 0.830
O 0.330 0.330 0.544
O 0.373 0.806 0.170
O 0.627 0.194 0.830
O 0.670 0.670 0.456
O 0.806 0.373 0.170
O 0.811 0.811 0.164
CELL_PARAMETERS angstrom
5.599 -3.304 0.000
5.599 3.304 0.000
-0.109 0.000 7.977
```

ΔE_f (raw)   -1639.6 meV/atom
Symmetry   C2/m

---

> Look up the ΔE_f (raw) of the fourth one.

-140.7 meV/atom